(1)
The following is a PBE calculation of an optimized crystal structure of FeIr3Pb, from Alexandria.

Values from the calculation:
Uncorrected energy: -32.77 eV/f.u.
E above lowest polymorph: 0.0 meV/atom
DFT formation energy: 115.4 kJ/mol of atoms

Cell lengths 4.5500, 4.5500, 4.5500 Å; angles 90.00, 90.00, 90.00 degrees
Last column: nearest neighbours and their distance in Å.
Atoms (fractional coordinates):
Pb (0.5000, 0.5000, 0.5000)  12 Ir 3.22
Fe (0.0000, 0.0000, 0.0000)  6 Ir 2.28
Ir (0.5000, 0.0000, 0.0000)  2 Fe 2.28
Ir (0.0000, 0.5000, 0.0000)  2 Fe 2.28
Ir (0.0000, 0.0000, 0.5000)  2 Fe 2.28

---

(2)
The following is a PBE calculation of an optimized crystal structure of Fe2IrPb, from Alexandria.

Values from the calculation:
Uncorrected energy: -27.97 eV/f.u.
DFT formation energy: 36.8 kJ/mol of atoms

Cell lengths 4.4586, 4.4586, 4.4586 Å; angles 60.00, 60.00, 60.00 degrees
Last column: nearest neighbours and their distance in Å.
Atoms (fractional coordinates):
Fe (0.0000, 0.0000, 0.0000)  4 Pb 2.73, 4 Fe 2.73
Ir (0.5000, 0.5000, 0.5000)  4 Pb 2.73, 4 Fe 2.73
Fe (0.2500, 0.2500, 0.2500)  4 Fe 2.73, 4 Ir 2.73
Pb (0.7500, 0.7500, 0.7500)  4 Fe 2.73, 4 Ir 2.73

---

(3)
The following is a PBE calculation of an optimized crystal structure of FeIr2Pb, from Alexandria.

Values from the calculation:
Uncorrected energy: -28.29 eV/f.u.
DFT formation energy: 38.6 kJ/mol of atoms

Cell lengths 3.7590, 4.1751, 4.1751 Å; angles 90.00, 90.00, 90.00 degrees
Last column: nearest neighbours and their distance in Å.
Atoms (fractional coordinates):
Pb (0.5000, 0.5000, 0.0000)  8 Ir 2.81, 4 Fe 2.95
Ir (0.0000, 0.0000, 0.0000)  4 Fe 2.81, 4 Pb 2.81, 4 Ir 2.95
Fe (0.5000, 0.0000, 0.5000)  8 Ir 2.81, 4 Pb 2.95
Ir (0.0000, 0.5000, 0.5000)  4 Pb 2.81, 4 Fe 2.81, 4 Ir 2.95